# 1
Density functional theory data (GGA-PBE) for an optimized crystal structure of NaThHgI6.

## Properties
**Formation energy from raw total energies**: -934.3 meV/atom
**Space group**: No. 5

POSCAR file:
```
NaThHgI6
1.0
3.996 -6.915 0.000
3.996 6.915 0.000
-0.017 0.000 7.307
Na Th Hg I
1 1 1 6
Cartesian
0.000 0.000 0.000
3.996 2.299 0.000
3.987 -2.311 3.653
2.779 4.514 5.522
1.481 2.234 1.787
2.663 0.152 5.522
5.195 4.514 1.785
6.493 2.234 5.520
5.311 0.152 1.785
```



# 2
Density functional theory data (GGA-PBE) for an optimized crystal structure of BaCd2HgAu4.

## Properties
**Space group**: No. 166
**Calculated formation energy**: -0.28 eV/atom

POSCAR file:
```
BaCd2HgAu4
1.0
2.399 1.385 10.010
-2.399 1.385 10.010
0.000 -2.770 10.010
Ba Cd Hg Au
1 2 1 4
Cartesian
0.000 0.000 0.000
0.000 0.000 7.246
0.000 0.000 22.784
0.000 0.000 15.015
0.000 0.000 3.502
0.000 0.000 12.085
0.000 0.000 17.945
0.000 0.000 26.529
```



# 3
Density functional theory data (GGA-PBE) for an optimized crystal structure of SmCu2Ru.

## Properties
**Space group**: No. 166
**Calculated formation energy**: -0.01 eV/atom

POSCAR file:
```
SmCu2Ru
1.0
4.267 0.000 0.000
-2.134 3.696 0.000
0.000 0.000 13.908
Sm Cu Ru
3 6 3
Cartesian
0.000 0.000 0.000
0.000 2.464 9.272
2.134 1.232 4.636
0.000 0.000 2.818
0.000 0.000 11.091
0.000 2.464 6.455
0.000 2.464 12.090
2.134 1.232 1.818
2.134 1.232 7.454
0.000 0.000 6.954
0.000 2.464 2.318
2.134 1.232 11.590
```



# 4
Density functional theory data (GGA-PBE) for an optimized crystal structure of NdHf2Co9.

## Properties
**Space group**: No. 166
**Calculated formation energy**: -0.23 eV/atom

POSCAR file:
```
NdHf2Co9
1.0
2.458 1.419 7.915
-2.458 1.419 7.915
0.000 -2.838 7.915
Nd Hf Co
1 2 9
Cartesian
0.000 0.000 0.000
0.000 0.000 3.343
0.000 0.000 20.401
-1.257 -0.726 9.949
0.000 0.000 7.977
0.000 -1.451 13.794
-1.257 0.726 13.794
0.000 0.000 11.872
1.257 -0.726 9.949
0.000 1.451 9.949
0.000 0.000 15.767
1.257 0.726 13.794
```



# 5
Density functional theory data (GGA-PBE) for an optimized crystal structure of MgRu2.

## Properties
**Space group**: No. 63
**Calculated formation energy**: 0.12 eV/atom

POSCAR file:
```
MgRu2
1.0
2.884 0.000 0.000
0.000 13.802 0.000
0.000 0.000 4.471
Mg Ru
4 8
Cartesian
0.000 1.364 1.118
0.000 12.438 3.353
1.442 5.537 3.353
1.442 8.265 1.118
0.000 3.101 3.353
0.000 5.933 1.118
0.000 7.869 3.353
0.000 10.701 1.118
1.442 0.968 3.353
1.442 3.800 1.118
1.442 10.002 3.353
1.442 12.834 1.118
```



# 6
Density functional theory data (GGA-PBE) for an optimized crystal structure of BaNbAl2.

## Properties
**Space group**: No. 141
**Calculated formation energy**: 0.54 eV/atom
**Relative energy among the computed polymorphs**: 54 meV per atom

POSCAR file:
```
BaNbAl2
1.0
5.247 0.000 0.000
0.000 5.247 0.000
0.000 0.000 18.839
Ba Nb Al
4 4 8
Cartesian
0.000 1.312 7.065
0.000 3.935 11.775
2.623 1.312 2.355
2.623 3.935 16.484
0.000 1.312 16.484
0.000 3.935 2.355
2.623 1.312 11.775
2.623 3.935 7.065
0.000 0.000 0.000
0.000 2.623 0.000
1.312 1.312 14.129
1.312 3.935 4.710
2.623 0.000 9.420
2.623 2.623 9.420
3.935 1.312 14.129
3.935 3.935 4.710
```



# 7
Density functional theory data (GGA-PBE) for an optimized crystal structure of SrGdHg4.

## Properties
**Space group**: No. 216
**Calculated formation energy**: -0.26 eV/atom

POSCAR file:
```
SrGdHg4
1.0
0.000 4.314 4.314
4.314 0.000 4.314
4.314 4.314 0.000
Sr Gd Hg
1 1 4
Cartesian
0.000 0.000 0.000
6.472 6.472 6.472
3.239 3.239 3.239
5.390 5.390 3.239
5.390 3.239 5.390
3.239 5.390 5.390
```



# 8
Density functional theory data (GGA-PBE) for an optimized crystal structure of PmCuGe2.

## Properties
**Space group**: No. 63
**Calculated formation energy**: -0.58 eV/atom
**Relative energy among the computed polymorphs**: 0 meV per atom

POSCAR file:
```
PmCuGe2
1.0
4.241 0.000 0.000
0.000 17.228 0.000
0.000 0.000 4.263
Pm Cu Ge
4 4 8
Cartesian
0.000 1.809 1.066
0.000 15.419 3.197
2.121 6.805 3.197
2.121 10.423 1.066
0.000 5.597 1.066
0.000 11.631 3.197
2.121 3.017 3.197
2.121 14.211 1.066
0.000 4.309 3.197
0.000 7.957 1.066
0.000 9.271 3.197
0.000 12.919 1.066
2.121 0.657 3.197
2.121 4.305 1.066
2.121 12.923 3.197
2.121 16.571 1.066
```



# 9
Density functional theory data (GGA-PBE) for an optimized crystal structure of SrLiBe2Ni.

## Properties
**Space group**: No. 123
**Calculated formation energy**: 0.15 eV/atom

POSCAR file:
```
SrLiBe2Ni
1.0
4.270 0.000 0.000
0.000 4.270 0.000
0.000 0.000 4.674
Sr Li Be Ni
1 1 2 1
Cartesian
0.000 0.000 0.000
2.135 2.135 0.000
0.000 2.135 2.337
2.135 0.000 2.337
2.135 2.135 2.337
```



# 10
Density functional theory data (GGA-PBE) for an optimized crystal structure of K2CeDy2S6.

## Properties
**Formation energy from raw total energies**: -1859.9 meV/atom
**Space group**: No. 12

POSCAR file:
```
K2CeDy2S6
1.0
3.499 -6.059 0.000
3.499 6.059 0.000
-2.345 0.000 7.505
K Ce Dy S
2 1 2 6
Cartesian
3.499 4.024 0.000
3.499 -4.024 0.000
-1.172 0.000 3.752
2.326 2.013 3.752
2.326 -2.013 3.752
-0.021 2.025 5.217
1.132 0.000 2.289
-0.021 -2.025 5.217
4.674 2.025 2.288
3.521 0.000 5.216
4.674 -2.025 2.288
```



# 11
Density functional theory data (GGA-PBE) for an optimized crystal structure of Cs2AcAs2O7.

## Properties
**Formation energy from raw total energies**: -1873.4 meV/atom
**Space group**: No. 166

POSCAR file:
```
Cs2AcAs2O7
1.0
3.174 1.832 7.857
-3.174 1.832 7.857
0.000 -3.665 7.857
Cs Ac As O
2 1 2 7
Cartesian
0.000 0.000 5.429
0.000 0.000 18.143
0.000 0.000 0.000
0.000 0.000 9.883
0.000 0.000 13.690
0.000 -1.652 9.305
-1.431 0.826 9.305
-1.431 -0.826 14.267
0.000 0.000 11.786
1.431 0.826 9.305
1.431 -0.826 14.267
0.000 1.652 14.267
```



Number 1: V 44.9 Å³/atom. Number 2: V 25.0 Å³/atom. Number 3: V 18.3 Å³/atom. Number 4: V 13.8 Å³/atom. Number 5: V 14.8 Å³/atom. Number 6: V 32.4 Å³/atom. Number 7: V 26.8 Å³/atom. Number 8: V 19.5 Å³/atom. Number 9: V 17.0 Å³/atom. Number 10: V 28.9 Å³/atom. Number 11: V 22.8 Å³/atom.